Entry 1:
Computed, not measured: TiV2Zn after structural relaxation at the GGA-PBE level of DFT.

a = 6.9194 Å, b = 6.9194 Å, c = 5.5212 Å
α = 51.20°, β = 51.20°, γ = 90.00°
Fractional coordinates of all 8 atoms:
1 Zn 0.0000 0.0000 0.0000
2 Zn 0.7500 0.2500 0.5000
3 V 0.6351 0.1250 0.2500
4 V 0.1149 0.6250 0.2500
5 V 0.3750 0.3649 0.7500
6 V 0.8750 0.8851 0.7500
7 Ti 0.5000 0.5000 0.0000
8 Ti 0.2500 0.7500 0.5000

Computed properties:
The crystal system is tetragonal. For the uncorrected energy, the calculation gives -25.489 eV/f.u. The formation energy is 0.4793 eV per atom.

***

Entry 2:
Computed, not measured: Sm4As2PbSe after structural relaxation at the GGA-PBE level of DFT.

a = 4.2237 Å, b = 7.4853 Å, c = 7.4502 Å
α = 71.11°, β = 90.00°, γ = 90.00°
Fractional coordinates of all 8 atoms:
1 Sm 0.0000 0.7667 0.7374
2 Sm 0.0000 0.2333 0.2626
3 Sm 0.5000 0.7637 0.2483
4 Sm 0.5000 0.2363 0.7517
5 As 0.0000 0.0000 0.0000
6 As 0.5000 0.0000 0.5000
7 Pb 0.5000 0.5000 0.0000
8 Se 0.0000 0.5000 0.5000

Computed properties:
The crystal system is monoclinic. As for the uncorrected formation energy: -1.356 eV/atom. For the uncorrected energy, the calculation gives -46.214 eV/f.u.

***

Entry 3:
Computed, not measured: Pm3DyNi8 after structural relaxation at the GGA-PBE level of DFT.

a = 5.1233 Å, b = 5.1233 Å, c = 8.8961 Å
α = 73.26°, β = 73.26°, γ = 60.00°
Fractional coordinates of all 12 atoms:
1 Pm 0.3752 0.3752 0.8745
2 Pm 0.9996 0.9996 0.0013
3 Pm 0.5003 0.5003 0.4992
4 Dy 0.8750 0.8750 0.3751
5 Ni 0.9364 0.4367 0.1902
6 Ni 0.4402 0.9374 0.6851
7 Ni 0.4367 0.4367 0.1902
8 Ni 0.9374 0.9374 0.6851
9 Ni 0.1878 0.1878 0.4366
10 Ni 0.6875 0.6875 0.9375
11 Ni 0.4367 0.9364 0.1902
12 Ni 0.9374 0.4402 0.6851

Computed properties:
The crystal system is trigonal. For the uncorrected energy, the calculation gives -69.522 eV/f.u. The formation energy is -0.3681 eV per atom.

***

Entry 4:
Computed, not measured: CrAu2 after structural relaxation at the GGA-PBE level of DFT.

a = 4.6234 Å, b = 4.6234 Å, c = 2.8694 Å
α = 90.00°, β = 90.00°, γ = 90.00°
Fractional coordinates of all 3 atoms:
1 Au 0.0000 0.5000 0.5000
2 Au 0.5000 0.0000 0.5000
3 Cr 0.0000 0.0000 0.0000

Computed properties:
The crystal system is tetragonal. For the uncorrected energy, the calculation gives -15.202 eV/f.u. The formation energy is 0.3253 eV per atom.

***

Entry 5:
Computed, not measured: MnI2NCl after structural relaxation at the GGA-PBE level of DFT.

a = 5.6320 Å, b = 5.6320 Å, c = 3.5321 Å
α = 90.00°, β = 90.00°, γ = 90.00°
Fractional coordinates of all 5 atoms:
1 I 0.0000 0.5000 0.0000
2 I 0.5000 0.0000 0.0000
3 N 0.0000 0.0000 0.5000
4 Mn 0.0000 0.0000 0.0000
5 Cl 0.5000 0.5000 0.5000

Computed properties:
The crystal system is tetragonal. As for the uncorrected formation energy: 0.313 eV/atom. The polymorph energy (0 for the lowest one) comes out at 0 meV per atom. For the uncorrected energy, the calculation gives -20.874 eV/f.u.

***

Entry 6:
Computed, not measured: PrAg2Sb after structural relaxation at the GGA-PBE level of DFT.

a = 3.2825 Å, b = 3.2825 Å, c = 11.1553 Å
α = 81.54°, β = 81.54°, γ = 60.00°
Fractional coordinates of all 4 atoms:
1 Pr 0.0000 0.0000 0.0000
2 Sb 0.5000 0.5000 0.5000
3 Ag 0.0930 0.0930 0.7209
4 Ag 0.9070 0.9070 0.2791

Computed properties:
The crystal system is trigonal. As for the uncorrected formation energy: 0.295 eV/atom. For the uncorrected energy, the calculation gives -13.424 eV/f.u.

***

Entry 7:
Computed, not measured: K3Ga5Cl12 after structural relaxation at the GGA-PBE level of DFT.

a = 14.8826 Å, b = 14.8826 Å, c = 14.8826 Å
α = 109.47°, β = 109.47°, γ = 109.47°
Fractional coordinates of all 80 atoms:
1 K 0.7500 0.3750 0.1250
2 K 0.8750 0.7500 0.1250
3 K 0.3750 0.7500 0.6250
4 K 0.2500 0.1250 0.3750
5 K 0.8750 0.1250 0.2500
6 K 0.3750 0.6250 0.2500
7 K 0.6250 0.3750 0.7500
8 K 0.1250 0.8750 0.7500
9 K 0.7500 0.8750 0.6250
10 K 0.6250 0.2500 0.3750
11 K 0.1250 0.2500 0.8750
12 K 0.2500 0.6250 0.8750
13 Ga 0.1250 0.3750 0.2500
14 Ga 0.0000 0.5000 0.0000
15 Ga 0.0000 0.0000 0.0000
16 Ga 0.3750 0.2500 0.1250
17 Ga 0.5000 0.0000 0.5000
18 Ga 0.5000 0.5000 0.0000
19 Ga 0.1250 0.7500 0.3750
20 Ga 0.7500 0.1250 0.8750
21 Ga 0.7500 0.6250 0.3750
22 Ga 0.3750 0.1250 0.7500
23 Ga 0.6250 0.8750 0.2500
24 Ga 0.5000 0.5000 0.5000
25 Ga 0.5000 0.0000 0.0000
26 Ga 0.0000 0.0000 0.5000
27 Ga 0.2500 0.3750 0.6250
28 Ga 0.2500 0.8750 0.1250
29 Ga 0.0000 0.5000 0.5000
30 Ga 0.8750 0.2500 0.6250
31 Ga 0.6250 0.7500 0.8750
32 Ga 0.8750 0.6250 0.7500
33 Cl 0.7127 0.1204 0.0157
34 Cl 0.3030 0.5157 0.3952
35 Cl 0.9843 0.3796 0.2873
36 Cl 0.5157 0.2127 0.1204
37 Cl 0.5922 0.7127 0.6970
38 Cl 0.9843 0.6048 0.1970
39 Cl 0.3030 0.7873 0.4078
40 Cl 0.1048 0.9078 0.1204
41 Cl 0.6048 0.9843 0.6970
42 Cl 0.7127 0.5922 0.1970
43 Cl 0.7873 0.4843 0.3796
44 Cl 0.8030 0.8952 0.0157
45 Cl 0.1204 0.7127 0.5157
46 Cl 0.3796 0.3952 0.0922
47 Cl 0.0922 0.8952 0.3796
48 Cl 0.4078 0.1204 0.6048
49 Cl 0.0922 0.1970 0.2127
50 Cl 0.4843 0.6970 0.1048
51 Cl 0.8030 0.9078 0.2873
52 Cl 0.1204 0.4078 0.1048
53 Cl 0.3796 0.9843 0.7873
54 Cl 0.6048 0.6204 0.4078
55 Cl 0.8952 0.8030 0.5157
56 Cl 0.7873 0.3030 0.9078
57 Cl 0.3952 0.3796 0.5922
58 Cl 0.1048 0.1970 0.4843
59 Cl 0.2127 0.6970 0.0922
60 Cl 0.1970 0.0922 0.7127
61 Cl 0.6204 0.0157 0.2127
62 Cl 0.8796 0.5922 0.8952
63 Cl 0.5157 0.3030 0.8952
64 Cl 0.5922 0.8796 0.3952
65 Cl 0.9078 0.8030 0.7873
66 Cl 0.9078 0.1048 0.6204
67 Cl 0.8796 0.2873 0.4843
68 Cl 0.1970 0.1048 0.9843
69 Cl 0.6204 0.6048 0.9078
70 Cl 0.3952 0.0157 0.3030
71 Cl 0.2873 0.4078 0.8030
72 Cl 0.2127 0.5157 0.6204
73 Cl 0.8952 0.0922 0.8796
74 Cl 0.6970 0.2127 0.5922
75 Cl 0.4843 0.7873 0.8796
76 Cl 0.0157 0.3952 0.8030
77 Cl 0.4078 0.2873 0.3030
78 Cl 0.0157 0.6204 0.7127
79 Cl 0.6970 0.4843 0.6048
80 Cl 0.2873 0.8796 0.9843

Computed properties:
The crystal system is cubic. As for the uncorrected formation energy: -1.181 eV/atom. For the uncorrected energy, the calculation gives -64.208 eV/f.u.

***

Entry 8:
Computed, not measured: ZnSbTe2C after structural relaxation at the GGA-PBE level of DFT.

a = 4.8866 Å, b = 4.8866 Å, c = 4.6848 Å
α = 90.00°, β = 90.00°, γ = 90.00°
Fractional coordinates of all 5 atoms:
1 Sb 0.0000 0.0000 0.5000
2 Zn 0.5000 0.5000 0.5000
3 Te 0.0000 0.5000 0.0000
4 Te 0.5000 0.0000 0.0000
5 C 0.0000 0.0000 0.0000

Computed properties:
The crystal system is tetragonal. As for the uncorrected formation energy: 1.007 eV/atom. The polymorph energy (0 for the lowest one) comes out at 0 meV per atom. For the uncorrected energy, the calculation gives -15.868 eV/f.u.

***

Entry 9:
Computed, not measured: PrPPd6 after structural relaxation at the GGA-PBE level of DFT.

a = 5.7255 Å, b = 5.7255 Å, c = 6.4040 Å
α = 63.45°, β = 63.45°, γ = 60.00°
Fractional coordinates of all 8 atoms:
1 Pr 0.5000 0.5000 0.5000
2 P 0.0000 0.0000 0.0000
3 Pd 0.9099 0.9099 0.7450
4 Pd 0.4351 0.9099 0.7450
5 Pd 0.0901 0.5649 0.2550
6 Pd 0.5649 0.0901 0.2550
7 Pd 0.0901 0.0901 0.2550
8 Pd 0.9099 0.4351 0.7450

Computed properties:
The crystal system is trigonal. For the uncorrected energy, the calculation gives -45.050 eV/f.u. The formation energy is -0.4629 eV per atom.

***

Entry 10:
Computed, not measured: Ca2CdIr after structural relaxation at the GGA-PBE level of DFT.

a = 5.5341 Å, b = 5.5341 Å, c = 5.5341 Å
α = 132.52°, β = 132.52°, γ = 69.41°
Fractional coordinates of all 4 atoms:
1 Ca 0.0000 0.0000 0.0000
2 Ca 0.2500 0.7500 0.5000
3 Ir 0.7500 0.2500 0.5000
4 Cd 0.5000 0.5000 0.0000

Computed properties:
The crystal system is tetragonal. For the uncorrected energy, the calculation gives -14.349 eV/f.u. The formation energy is -0.1425 eV per atom.

***

Entry 11:
Computed, not measured: Ca2InHgAs after structural relaxation at the GGA-PBE level of DFT.

a = 5.5610 Å, b = 5.3439 Å, c = 5.5610 Å
α = 90.00°, β = 90.00°, γ = 90.00°
Fractional coordinates of all 5 atoms:
1 As 0.0000 0.0000 0.0000
2 Ca 0.0000 0.0000 0.5000
3 Ca 0.5000 0.0000 0.0000
4 Hg 0.5000 0.5000 0.5000
5 In 0.0000 0.5000 0.0000

Computed properties:
The crystal system is tetragonal. For the uncorrected energy, the calculation gives -13.443 eV/f.u. The formation energy is -0.3500 eV per atom.

***

Entry 12:
Computed, not measured: Mg2CdInH after structural relaxation at the GGA-PBE level of DFT.

a = 4.3830 Å, b = 4.3830 Å, c = 4.8884 Å
α = 90.00°, β = 90.00°, γ = 90.00°
Fractional coordinates of all 5 atoms:
1 H 0.0000 0.0000 0.0000
2 Mg 0.0000 0.5000 0.0000
3 Mg 0.5000 0.0000 0.0000
4 Cd 0.5000 0.5000 0.5000
5 In 0.0000 0.0000 0.5000

Computed properties:
The crystal system is tetragonal. The polymorph energy (0 for the lowest one) comes out at 4 meV per atom. For the uncorrected energy, the calculation gives -9.976 eV/f.u.

***

In order of appearance, DOS(E_F) = 8.668 1.705 7.758 1.607 3.820 2.838 26.247 3.117 1.815 1.954 2.874 1.335 states/eV/cell.